Here is crystalline Co3BiPt at its relaxed geometry from Alexandria via LeMat-Bulk. Energies are from PBE.

## Properties
- energy above the lowest structure with this stoichiometry (meV per atom) = 745
- ΔE_f (eV/atom) = 1.722
- total magnetization (μB/f.u.) = 4.4
- symmetry = Pm-3m (221)
- electronic total energy (eV per atom) = -4.53
- density of states at the Fermi level (states/eV/f.u.) = 6.79

Cell lengths 4.685, 4.685, 4.685 Å; angles 90.00, 90.00, 90.00 degrees
Each line ends with the local moment (μB).
Atoms (fractional coordinates):
1 Co 0.000 0.000 0.500  1.32
2 Co 0.000 0.500 0.000  1.34
3 Co 0.500 0.000 0.000  1.69
4 Pt 0.500 0.500 0.500  0.19
5 Bi 0.000 0.000 0.000  -0.10

=====

Here is crystalline Co2Bi2Pt at its relaxed geometry from Alexandria via LeMat-Bulk. Energies are from PBE.

## Properties
- ΔE_f (eV/atom) = 0.246
- total magnetization (μB/f.u.) = 2.3
- symmetry = P4/mbm (127)
- electronic total energy (eV per atom) = -5.36
- density of states at the Fermi level (states/eV/f.u.) = 4.95

Cell lengths 6.893, 6.893, 3.821 Å; angles 90.00, 90.00, 90.00 degrees
Each line ends with the local moment (μB).
Atoms (fractional coordinates):
1 Bi 0.821 0.321 0.500  -0.04
2 Bi 0.179 0.679 0.500  -0.04
3 Bi 0.679 0.821 0.500  -0.04
4 Bi 0.321 0.179 0.500  -0.04
5 Co 0.378 0.878 0.000  1.22
6 Co 0.122 0.378 0.000  1.20
7 Co 0.878 0.622 0.000  1.20
8 Co 0.622 0.122 0.000  1.22
9 Pt 0.500 0.500 0.000  0.02
10 Pt 0.000 0.000 0.000  0.02

=====

Here is crystalline CoBi2Pt2 at its relaxed geometry from Alexandria via LeMat-Bulk. Energies are from PBE.

## Properties
- ΔE_f (eV/atom) = 0.168
- total magnetization (μB/f.u.) = 2.0
- symmetry = P4/mbm (127)
- electronic total energy (eV per atom) = -5.22
- density of states at the Fermi level (states/eV/f.u.) = 11.48

Cell lengths 6.975, 6.975, 4.273 Å; angles 90.00, 90.00, 90.00 degrees
Each line ends with the local moment (μB).
Atoms (fractional coordinates):
1 Pt 0.358 0.858 0.000  0.09
2 Pt 0.642 0.142 0.000  0.09
3 Pt 0.142 0.358 0.000  0.09
4 Pt 0.858 0.642 0.000  0.09
5 Bi 0.171 0.671 0.500  0.00
6 Bi 0.829 0.329 0.500  0.00
7 Bi 0.671 0.829 0.500  0.00
8 Bi 0.329 0.171 0.500  0.00
9 Co 0.000 0.000 0.000  1.88
10 Co 0.500 0.500 0.000  1.88

=====

Here is crystalline CoBiPt at its relaxed geometry from Alexandria via LeMat-Bulk. Energies are from PBE.

## Properties
- ΔE_f (eV/atom) = 0.263
- total magnetization (μB/f.u.) = 1.8
- symmetry = P-6m2 (187)
- electronic total energy (eV per atom) = -5.41
- density of states at the Fermi level (states/eV/f.u.) = 2.88

Cell lengths 3.953, 3.948, 9.067 Å; angles 90.00, 90.00, 120.04 degrees
Each line ends with the local moment (μB).
Atoms (fractional coordinates):
1 Bi 0.611 0.222 0.310  -0.04
2 Bi 0.611 0.222 0.690  -0.04
3 Co 0.278 0.556 0.869  1.66
4 Co 0.278 0.556 0.131  1.66
5 Pt 0.277 0.555 0.500  0.01
6 Pt 0.611 0.223 0.000  0.32

=====

Here is crystalline Co2BiPt at its relaxed geometry from Alexandria via LeMat-Bulk. Energies are from PBE.

## Properties
- ΔE_f (eV/atom) = 0.446
- total magnetization (μB/f.u.) = 3.3
- symmetry = I-42d (122)
- electronic total energy (eV per atom) = -5.59
- density of states at the Fermi level (states/eV/f.u.) = 3.97

Cell lengths 4.022, 4.022, 9.521 Å; angles 77.81, 77.81, 90.00 degrees
Each line ends with the local moment (μB).
Atoms (fractional coordinates):
1 Co 0.875 0.775 0.750  1.67
2 Co 0.375 0.475 0.750  1.71
3 Co 0.525 0.125 0.250  1.66
4 Co 0.225 0.625 0.250  1.63
5 Pt 0.500 0.500 0.000  0.08
6 Pt 0.250 0.750 0.500  0.08
7 Bi 0.750 0.250 0.500  -0.08
8 Bi 0.000 0.000 0.000  -0.09

=====

Here is crystalline CoBiPtS2 at its relaxed geometry from Alexandria via LeMat-Bulk. Energies are from PBE.

## Properties
- E_form (uncorrected) (meV per atom) = 874
- total magnetization (μB/f.u.) = 2.8
- symmetry = P4/mmm (123)
- electronic total energy (eV per atom) = -4.18
- density of states at the Fermi level (states/eV/f.u.) = 7.91

Cell lengths 4.591, 5.747, 4.591 Å; angles 90.00, 90.00, 90.00 degrees
Each line ends with the local moment (μB).
Atoms (fractional coordinates):
1 Co 0.500 0.500 0.500  2.18
2 Pt 0.000 0.000 0.000  0.07
3 S 0.000 0.000 0.500  0.12
4 S 0.500 0.000 0.000  0.25
5 Bi 0.000 0.500 0.000  -0.07

=====

Here is crystalline CoSi2BiPt at its relaxed geometry from Alexandria via LeMat-Bulk. Energies are from PBE.

## Properties
- E_form (uncorrected) (meV per atom) = 1785
- total magnetization (μB/f.u.) = 1.3
- symmetry = P4/mmm (123)
- electronic total energy (eV per atom) = -3.79
- density of states at the Fermi level (states/eV/f.u.) = 3.53

Cell lengths 5.229, 4.698, 5.229 Å; angles 90.00, 90.00, 90.00 degrees
Each line ends with the local moment (μB).
Atoms (fractional coordinates):
1 Si 0.000 0.000 0.500  -0.01
2 Si 0.500 0.000 0.000  -0.03
3 Co 0.000 0.500 0.000  1.40
4 Bi 0.000 0.000 0.000  -0.04
5 Pt 0.500 0.500 0.500  0.06

=====

Here is crystalline Ta2CoBiPt at its relaxed geometry from Alexandria via LeMat-Bulk. Energies are from PBE.

## Properties
- ΔE_f (eV/atom) = 2.482
- total magnetization (μB/f.u.) = 0.2
- symmetry = P4/mmm (123)
- electronic total energy (eV per atom) = -5.66
- density of states at the Fermi level (states/eV/f.u.) = 9.30

Cell lengths 5.163, 4.904, 5.163 Å; angles 90.00, 90.00, 90.00 degrees
Each line ends with the local moment (μB).
Atoms (fractional coordinates):
1 Co 0.500 0.500 0.500  -0.26
2 Ta 0.000 0.000 0.500  -0.01
3 Ta 0.500 0.000 0.000  0.04
4 Pt 0.000 0.500 0.000  0.01
5 Bi 0.000 0.000 0.000  -0.02

=====

Here is crystalline TlCoBiPt2 at its relaxed geometry from Alexandria via LeMat-Bulk. Energies are from PBE.

## Properties
- ΔE_f (eV/atom) = 1.070
- total magnetization (μB/f.u.) = 1.6
- symmetry = P4/mmm (123)
- electronic total energy (eV per atom) = -4.02
- density of states at the Fermi level (states/eV/f.u.) = 6.27

Cell lengths 5.070, 4.765, 5.070 Å; angles 90.00, 90.00, 90.00 degrees
Each line ends with the local moment (μB).
Atoms (fractional coordinates):
1 Tl 0.000 0.000 0.000  -0.03
2 Pt 0.000 0.000 0.500  -0.01
3 Pt 0.500 0.000 0.000  0.01
4 Co 0.000 0.500 0.000  1.70
5 Bi 0.500 0.500 0.500  -0.03

=====

Here is crystalline Pu2CoBi at its relaxed geometry from Alexandria via LeMat-Bulk. Energies are from PBE.

## Properties
- energy above the lowest structure with this stoichiometry (meV per atom) = 0
- ΔE_f (eV/atom) = -0.118
- total magnetization (μB/f.u.) = 10.2
- symmetry = P4/mmm (123)
- electronic total energy (eV per atom) = -10.03
- density of states at the Fermi level (states/eV/f.u.) = 14.19

Cell lengths 3.312, 3.312, 8.568 Å; angles 90.00, 90.00, 90.00 degrees
Each line ends with the local moment (μB).
Atoms (fractional coordinates):
1 Co 0.500 0.500 0.000  -1.09
2 Bi 0.500 0.500 0.500  -0.07
3 Pu 0.000 0.000 0.193  5.39
4 Pu 0.000 0.000 0.807  5.39

=====

Here is crystalline PuCoBi at its relaxed geometry from Alexandria via LeMat-Bulk. Energies are from PBE.

## Properties
- ΔE_f (eV/atom) = -0.094
- total magnetization (μB/f.u.) = 4.7
- symmetry = P2_1/m (11)
- electronic total energy (eV per atom) = -8.53
- density of states at the Fermi level (states/eV/f.u.) = 8.23

Cell lengths 5.543, 6.611, 10.024 Å; angles 131.05, 90.00, 90.00 degrees
Each line ends with the local moment (μB).
Atoms (fractional coordinates):
1 Bi 0.750 0.913 0.252  -0.06
2 Bi 0.750 0.413 0.752  -0.06
3 Bi 0.250 0.587 0.248  -0.06
4 Bi 0.250 0.087 0.748  -0.06
5 Co 0.500 0.250 0.250  -0.76
6 Co 0.000 0.750 0.750  -0.76
7 Co 0.000 0.250 0.250  -0.76
8 Co 0.500 0.750 0.750  -0.76
9 Pu 0.250 0.292 0.500  5.24
10 Pu 0.250 0.792 0.000  5.24
11 Pu 0.750 0.208 0.000  5.24
12 Pu 0.750 0.708 0.500  5.24

=====

Here is crystalline Pu2CoBi at its relaxed geometry from Alexandria via LeMat-Bulk. Energies are from PBE.

## Properties
- energy above the lowest structure with this stoichiometry (meV per atom) = 289
- ΔE_f (eV/atom) = 0.171
- total magnetization (μB/f.u.) = 10.4
- symmetry = R-3m (166)
- electronic total energy (eV per atom) = -9.74
- density of states at the Fermi level (states/eV/f.u.) = 15.45

Cell lengths 3.579, 3.579, 10.023 Å; angles 79.72, 79.72, 60.00 degrees
Each line ends with the local moment (μB).
Atoms (fractional coordinates):
1 Bi 0.000 0.000 0.000  -0.09
2 Pu 0.111 0.111 0.667  5.30
3 Pu 0.889 0.889 0.333  5.30
4 Co 0.500 0.500 0.500  -0.72

=====

Which formula does entry 3 have? CoBi2Pt2

=====

The highest electronic total energy belongs to which entry? CoSi2BiPt

=====

Among the records above, which one has the highest density of states at the Fermi level? number 12

=====

Copy entry 6 word for word.
Here is crystalline CoBiPtS2 at its relaxed geometry from Alexandria via LeMat-Bulk. Energies are from PBE.

## Properties
- E_form (uncorrected) (meV per atom) = 874
- total magnetization (μB/f.u.) = 2.8
- symmetry = P4/mmm (123)
- electronic total energy (eV per atom) = -4.18
- density of states at the Fermi level (states/eV/f.u.) = 7.91

Cell lengths 4.591, 5.747, 4.591 Å; angles 90.00, 90.00, 90.00 degrees
Each line ends with the local moment (μB).
Atoms (fractional coordinates):
1 Co 0.500 0.500 0.500  2.18
2 Pt 0.000 0.000 0.000  0.07
3 S 0.000 0.000 0.500  0.12
4 S 0.500 0.000 0.000  0.25
5 Bi 0.000 0.500 0.000  -0.07